(1)
A plane-wave DFT calculation with GGA-PBE was carried out for a relaxed structure of PIr2Rh.

Computed properties:
- Raw total energy: -30.46 eV per cell
- Total moment: 0.000 μB per cell
- DFT formation energy: 0.02 eV per formula unit
- Space group: P4mm

Cell: 2.809 2.809 7.023 Å, 90.00 90.00 90.00°
Atoms (fractional coordinates):
P 0.000 0.000 0.501
Ir 0.000 0.000 0.001
Ir 0.500 0.500 0.280
Rh 0.500 0.500 0.718

(2)
A plane-wave DFT calculation with GGA-PBE was carried out for a relaxed structure of PIrRh2.

Computed properties:
- Raw total energy: -29.33 eV per cell
- Total moment: 0.000 μB per cell
- DFT formation energy: -0.36 eV per formula unit
- Space group: P4/mmm

Cell: 2.807 2.807 6.964 Å, 90.00 90.00 90.00°
Atoms (fractional coordinates):
P 0.500 0.500 0.500
Ir 0.500 0.500 0.000
Rh 0.000 0.000 0.716
Rh 0.000 0.000 0.284

(3)
A plane-wave DFT calculation with GGA-PBE was carried out for a relaxed structure of P2IrRh.

Computed properties:
- Raw total energy: -26.21 eV per cell
- Energy above the lowest structure with this stoichiometry: 2.655 eV per formula unit
- Total moment: 0.000 μB per cell
- DFT formation energy: 0.82 eV per formula unit
- Space group: Pmmm

Cell: 2.814 5.059 4.021 Å, 90.00 90.00 90.00°
Atoms (fractional coordinates):
Ir 0.000 0.500 0.500
P 0.000 0.000 0.000
P 0.500 0.500 0.000
Rh 0.500 0.000 0.500